Entry from Alexandria: a geometry-optimized AcTlI2O8 structure (PBE).

## Properties
crystal system: trigonal
SG: R-3, No. 148
ΔE_f (raw): -881.5 meV/atom

Cell lengths 6.890, 6.890, 6.890 Å; angles 59.03, 59.03, 59.03 degrees
Fractional coordinates of all 12 atoms:
Ac 0.000 0.000 0.000
Tl 0.500 0.500 0.500
I 0.260 0.260 0.260
I 0.740 0.740 0.740
O 0.003 0.254 0.559
O 0.154 0.154 0.154
O 0.254 0.559 0.003
O 0.441 0.997 0.746
O 0.559 0.003 0.254
O 0.746 0.441 0.997
O 0.846 0.846 0.846
O 0.997 0.746 0.441

---

Entry from Alexandria: a geometry-optimized CaTmIr2 structure (PBE).

## Properties
crystal system: tetragonal
ΔH_f (0 K): -0.553 eV per atom
SG: P4/mmm, No. 123

Cell lengths 3.383, 3.383, 6.873 Å; angles 90.00, 90.00, 90.00 degrees
Fractional coordinates of all 4 atoms:
Ca 0.000 0.000 0.000
Tm 0.000 0.000 0.500
Ir 0.500 0.500 0.267
Ir 0.500 0.500 0.733

---

Entry from Alexandria: a geometry-optimized NaPrCuHg structure (PBE).

## Properties
crystal system: cubic
ΔH_f (0 K): -0.120 eV per atom
SG: F-43m, No. 216

Cell lengths 5.156, 5.156, 5.156 Å; angles 60.00, 60.00, 60.00 degrees
Fractional coordinates of all 4 atoms:
Na 0.000 0.000 0.000
Pr 0.500 0.500 0.500
Cu 0.250 0.250 0.250
Hg 0.750 0.750 0.750

---

Entry from Alexandria: a geometry-optimized SrGe3Sb structure (PBE).

## Properties
crystal system: cubic
SG: Pm-3m, No. 221
ΔE to the lowest computed polymorph: 0.825 eV/atom
ΔE_f (raw): 1192.9 meV/atom

Cell lengths 5.558, 5.558, 5.558 Å; angles 90.00, 90.00, 90.00 degrees
Fractional coordinates of all 5 atoms:
Sr 0.000 0.000 0.000
Ge 0.000 0.000 0.500
Ge 0.000 0.500 0.000
Ge 0.500 0.000 0.000
Sb 0.500 0.500 0.500

---

Entry from Alexandria: a geometry-optimized Ba3LaCu structure (PBE).

## Properties
crystal system: cubic
ΔH_f (0 K): 0.245 eV per atom
SG: Pm-3m, No. 221
ΔE to the lowest computed polymorph: 0.000 eV/atom

Cell lengths 6.194, 6.194, 6.194 Å; angles 90.00, 90.00, 90.00 degrees
Fractional coordinates of all 5 atoms:
Ba 0.000 0.000 0.500
Ba 0.000 0.500 0.000
Ba 0.500 0.000 0.000
La 0.500 0.500 0.500
Cu 0.000 0.000 0.000

---

Entry from Alexandria: a geometry-optimized La3Nd4Ho2 structure (PBE).

## Properties
crystal system: monoclinic
ΔH_f (0 K): 0.115 eV per atom
SG: C2/c, No. 15
ΔE to the lowest computed polymorph: 0.019 eV/atom

Cell lengths 10.054, 10.054, 6.546 Å; angles 95.02, 95.02, 72.34 degrees
Fractional coordinates of all 18 atoms:
La 0.037 0.963 0.750
La 0.186 0.694 0.027
La 0.306 0.814 0.473
La 0.694 0.186 0.527
La 0.814 0.306 0.973
La 0.963 0.037 0.250
Nd 0.135 0.375 0.106
Nd 0.315 0.481 0.584
Nd 0.375 0.135 0.606
Nd 0.481 0.315 0.084
Nd 0.519 0.685 0.916
Nd 0.625 0.865 0.394
Nd 0.685 0.519 0.416
Nd 0.865 0.625 0.894
Ho 0.029 0.315 0.578
Ho 0.315 0.029 0.078
Ho 0.685 0.971 0.922
Ho 0.971 0.685 0.422

---

Entry from Alexandria: a geometry-optimized Sr2In7Au structure (PBE).

## Properties
crystal system: tetragonal
ΔH_f (0 K): -0.316 eV per atom
SG: P-4m2, No. 115

Cell lengths 4.794, 4.794, 12.384 Å; angles 90.00, 90.00, 90.00 degrees
Fractional coordinates of all 10 atoms:
Sr 0.000 0.500 0.236
Sr 0.500 0.000 0.764
In 0.000 0.000 0.000
In 0.000 0.000 0.500
In 0.000 0.500 0.643
In 0.000 0.500 0.870
In 0.500 0.000 0.130
In 0.500 0.000 0.357
In 0.500 0.500 0.500
Au 0.500 0.500 0.000

---

Entry from Alexandria: a geometry-optimized NaScGa2O structure (PBE).

## Properties
crystal system: tetragonal
SG: P4/mmm, No. 123
ΔE_f (raw): -569.8 meV/atom

Cell lengths 5.658, 5.658, 3.901 Å; angles 90.00, 90.00, 90.00 degrees
Fractional coordinates of all 5 atoms:
Na 0.000 0.000 0.000
Sc 0.500 0.500 0.500
Ga 0.000 0.500 0.500
Ga 0.500 0.000 0.500
O 0.500 0.500 0.000

---

Entry from Alexandria: a geometry-optimized Ce2PuNb structure (PBE).

## Properties
crystal system: trigonal
ΔH_f (0 K): 0.859 eV per atom
SG: R-3m, No. 166

Cell lengths 8.776, 8.776, 8.776 Å; angles 22.91, 22.91, 22.91 degrees
Fractional coordinates of all 4 atoms:
Ce 0.103 0.103 0.103
Ce 0.897 0.897 0.897
Pu 0.500 0.500 0.500
Nb 0.000 0.000 0.000

---

Entry from Alexandria: a geometry-optimized SrDyGe2Au2 structure (PBE).

## Properties
crystal system: trigonal
ΔH_f (0 K): -0.747 eV per atom
SG: P-3m1, No. 164

Cell lengths 4.522, 4.522, 7.929 Å; angles 90.00, 90.00, 120.00 degrees
Fractional coordinates of all 6 atoms:
Sr 0.000 0.000 0.000
Dy 0.000 0.000 0.500
Ge 0.333 0.667 0.710
Ge 0.667 0.333 0.290
Au 0.333 0.667 0.280
Au 0.667 0.333 0.720

---

Entry from Alexandria: a geometry-optimized CsSrGe3 structure (PBE).

## Properties
crystal system: cubic
ΔH_f (0 K): 1.174 eV per atom
SG: Pm-3m, No. 221

Cell lengths 5.754, 5.754, 5.754 Å; angles 90.00, 90.00, 90.00 degrees
Fractional coordinates of all 5 atoms:
Cs 0.000 0.000 0.000
Sr 0.500 0.500 0.500
Ge 0.000 0.000 0.500
Ge 0.000 0.500 0.000
Ge 0.500 0.000 0.000

---

Entry from Alexandria: a geometry-optimized BaBePt structure (PBE).

## Properties
crystal system: monoclinic
ΔH_f (0 K): -0.560 eV per atom
SG: P2_1/c, No. 14
ΔE to the lowest computed polymorph: 0.000 eV/atom

Cell lengths 6.312, 7.668, 7.665 Å; angles 90.00, 127.20, 90.00 degrees
Fractional coordinates of all 12 atoms:
Ba 0.122 0.001 0.311
Ba 0.122 0.499 0.811
Ba 0.878 0.501 0.189
Ba 0.878 0.999 0.689
Be 0.499 0.657 0.343
Be 0.499 0.843 0.843
Be 0.501 0.157 0.157
Be 0.501 0.343 0.657
Pt 0.499 0.637 0.637
Pt 0.499 0.863 0.137
Pt 0.501 0.137 0.863
Pt 0.501 0.363 0.363

---

Q: Number 11 is which compound?
A: CsSrGe3